The following is a SCAN calculation of a PBEsol-optimized structure of ZrTlCr2, from the Alexandria database.

Formation energy from the elements   0.2541 eV per atom
Calculated total energy   -34.70 eV/atom
Fermi-level density of states   0.697 states/eV/atom

a = 3.2707 Å, b = 3.2707 Å, c = 6.3911 Å
α = 90.00°, β = 90.00°, γ = 90.00°
Last column: nearest neighbours and their distance in Å.
Space group P4/mmm (No. 123)
Inequivalent atoms, fractional coordinates:
Zr1 0.0000 0.0000 0.0000 [1 per cell]  8 Cr 2.79
Tl1 0.0000 0.0000 0.5000 [1 per cell]  8 Cr 2.84
Cr1 0.5000 0.5000 0.2433 [2 per cell]  4 Zr 2.79, 4 Tl 2.84, 1 Cr 3.11

---

The following is a SCAN calculation of a PBEsol-optimized structure of ZrTlCr2, from the Alexandria database.

Formation energy from the elements   0.1820 eV per atom
Calculated total energy   -34.77 eV/atom
Fermi-level density of states   0.667 states/eV/atom

a = 3.9317 Å, b = 3.9317 Å, c = 8.9118 Å
α = 90.00°, β = 90.00°, γ = 90.00°
Last column: nearest neighbours and their distance in Å.
Space group I-4m2 (No. 119)
Inequivalent atoms, fractional coordinates:
Zr1 0.0000 0.0000 0.0000 [2 per cell]  8 Cr 2.78-2.97, 4 Tl 2.97
Tl1 0.0000 0.5000 0.7500 [2 per cell]  8 Cr 2.78-2.97, 4 Zr 2.97
Cr1 0.0000 0.0000 0.5000 [2 per cell]  4 Zr 2.78, 4 Tl 2.97, 4 Cr 2.97
Cr2 0.0000 0.5000 0.2500 [2 per cell]  4 Tl 2.78, 4 Cr 2.97, 4 Zr 2.97

---

The following is a SCAN calculation of a PBEsol-optimized structure of Zr2TlCr, from the Alexandria database.

Formation energy from the elements   0.0575 eV per atom
Calculated total energy   -37.98 eV/atom
Fermi-level density of states   0.620 states/eV/atom

a = 6.7345 Å, b = 6.7345 Å, c = 6.7345 Å
α = 90.00°, β = 90.00°, γ = 90.00°
Last column: nearest neighbours and their distance in Å.
Space group Fm-3m (No. 225)
Inequivalent atoms, fractional coordinates:
Zr1 0.2500 0.2500 0.2500 [8 per cell]  4 Cr 2.92, 4 Tl 2.92
Tl1 0.0000 0.0000 0.0000 [4 per cell]  8 Zr 2.92
Cr1 0.0000 0.0000 0.5000 [4 per cell]  8 Zr 2.92